PrH7Pd12 after structural relaxation, computed with PBE.

Cell lengths 7.2042, 6.5753, 6.5753 Å; angles 72.55, 68.58, 111.42 degrees
Last column: nearest neighbours and their distance in Å.
Fractional positions:
H 0.4365 0.3209 0.7468  3 Pd 1.76-1.94
Pd 0.8432 0.3130 0.7642  2 H 1.84-1.94
H 0.8845 0.0677 0.6791  3 Pd 1.76-1.94
H 0.1155 0.9323 0.3209  3 Pd 1.76-1.94
Pd 0.1568 0.6870 0.2358  2 H 1.84-1.94
H 0.8168 0.2532 0.0677  3 Pd 1.76-1.94
H 0.5000 0.0000 0.0000  6 Pd 2.08
Pr 0.0000 0.0000 0.0000  6 H 2.52
Pd 0.6920 0.6262 0.5445  1 H 1.76
Pd 0.4698 0.0772 0.6870  2 H 1.84-1.94
Pd 0.6073 0.7642 0.9228  2 H 1.84-1.94
H 0.1832 0.7468 0.9323  3 Pd 1.76-1.94
Pd 0.2365 0.5445 0.8293  1 H 1.76
Pd 0.3080 0.3738 0.4555  1 H 1.76
Pd 0.7635 0.4555 0.1707  1 H 1.76
Pd 0.9342 0.1707 0.3738  1 H 1.76
Pd 0.0658 0.8293 0.6262  1 H 1.76
H 0.5635 0.6791 0.2532  3 Pd 1.76-1.94
Pd 0.5302 0.9228 0.3130  2 H 1.84-1.94
Pd 0.3927 0.2358 0.0772  2 H 1.84-1.94

* symmetry: R-3, No. 148
* VASP energy: -4.706 eV per atom